1.
First-principles (PBE) data for an optimized crystal structure of LiIrRh, as listed in the Alexandria database.

a b c (Å): 4.0868 4.0868 4.0868
angles (deg): 60.00 60.00 60.00
Sites, in units of the cell vectors:
Ir  0.0000  0.0000  0.0000
Li  0.5000  0.5000  0.5000
Rh  0.7500  0.7500  0.7500

Values from the calculation:
energy of formation: 1.016 eV/f.u.
relative energy among the computed polymorphs: 0.426 eV per atom
uncorrected energy: -5.70 eV/atom

***

2.
First-principles (PBE) data for an optimized crystal structure of La2CuBiSe5, as listed in the Alexandria database.

a b c (Å): 4.1724 9.1632 12.4541
angles (deg): 90.00 90.00 103.16
Sites, in units of the cell vectors:
La  0.8844  0.7687  0.8056
La  0.1146  0.2291  0.6840
La  0.1156  0.2313  0.3056
La  0.8854  0.7709  0.1840
Cu  0.4979  0.9957  0.9848
Cu  0.5021  0.0043  0.4848
Bi  0.8124  0.6247  0.4999
Bi  0.1876  0.3753  0.9999
Se  0.3555  0.7110  0.9982
Se  0.7031  0.4063  0.8295
Se  0.5070  0.0140  0.7904
Se  0.2930  0.5860  0.6643
Se  0.9640  0.9281  0.5672
Se  0.6445  0.2890  0.4982
Se  0.2969  0.5937  0.3295
Se  0.4930  0.9860  0.2904
Se  0.7070  0.4140  0.1643
Se  0.0360  0.0719  0.0672

Values from the calculation:
E_form (uncorrected): -1.252 eV per atom
uncorrected energy: -5.17 eV/atom

***

3.
First-principles (PBE) data for an optimized crystal structure of Nd6Dy3In, as listed in the Alexandria database.

a b c (Å): 3.5595 12.9991 14.5350
angles (deg): 100.68 90.00 90.00
Sites, in units of the cell vectors:
Nd  0.7500  0.4896  0.6912
Nd  0.2500  0.5104  0.3088
Nd  0.7500  0.8125  0.0755
Nd  0.2500  0.1875  0.9245
Nd  0.7500  0.3418  0.1154
Nd  0.2500  0.6582  0.8846
Nd  0.7500  0.7537  0.3035
Nd  0.2500  0.2463  0.6965
Nd  0.7500  0.1107  0.4626
Nd  0.2500  0.8893  0.5374
Nd  0.7500  0.7680  0.7138
Nd  0.2500  0.2320  0.2862
Dy  0.7500  0.4204  0.9031
Dy  0.2500  0.5796  0.0969
Dy  0.7500  0.6299  0.5008
Dy  0.2500  0.3701  0.4992
Dy  0.7500  0.0715  0.1068
Dy  0.2500  0.9285  0.8932
In  0.7500  0.0312  0.7298
In  0.2500  0.9688  0.2702

Values from the calculation:
energy of formation: -0.106 eV/f.u.
relative energy among the computed polymorphs: 0.000 eV per atom
uncorrected energy: -4.53 eV/atom

***

4.
First-principles (PBE) data for an optimized crystal structure of Fe2Rh, as listed in the Alexandria database.

a b c (Å): 5.1659 4.1930 4.1930
angles (deg): 60.00 90.00 90.00
Sites, in units of the cell vectors:
Fe  0.0087  0.0000  0.0000
Fe  0.1667  0.6667  0.6667
Fe  0.3247  0.3333  0.3333
Fe  0.6667  0.6667  0.6667
Rh  0.4995  0.0000  0.0000
Rh  0.8338  0.3333  0.3333

Values from the calculation:
energy of formation: -0.132 eV/f.u.
uncorrected energy: -8.14 eV/atom

***

5.
First-principles (PBE) data for an optimized crystal structure of TbPmPrDy, as listed in the Alexandria database.

a b c (Å): 5.1182 5.1259 6.2610
angles (deg): 114.16 114.13 90.00
Sites, in units of the cell vectors:
Tb  0.1956  0.6956  0.3911
Pm  0.9454  0.9454  0.8908
Pr  0.6956  0.1956  0.3912
Dy  0.4457  0.4457  0.8913

Values from the calculation:
energy of formation: 0.071 eV/f.u.
relative energy among the computed polymorphs: 0.000 eV per atom
uncorrected energy: -4.67 eV/atom

***

6.
First-principles (PBE) data for an optimized crystal structure of Pm11Tm9Sc4, as listed in the Alexandria database.

a b c (Å): 3.5728 15.1248 15.1248
angles (deg): 113.11 90.00 90.00
Sites, in units of the cell vectors:
Pm  0.0000  0.5938  0.9545
Pm  0.0000  0.4062  0.0455
Pm  0.0000  0.9545  0.5938
Pm  0.0000  0.0455  0.4062
Pm  0.0000  0.6297  0.3703
Pm  0.0000  0.3703  0.6297
Pm  0.0000  0.8404  0.1596
Pm  0.0000  0.1596  0.8404
Pm  0.0000  0.0000  0.0000
Pm  0.0000  0.7020  0.7020
Pm  0.0000  0.2980  0.2980
Tm  0.5000  0.6288  0.1669
Tm  0.5000  0.3712  0.8331
Tm  0.5000  0.1669  0.6288
Tm  0.5000  0.8331  0.3712
Tm  0.5000  0.7829  0.9265
Tm  0.5000  0.2171  0.0735
Tm  0.5000  0.9265  0.7829
Tm  0.5000  0.0735  0.2171
Tm  0.5000  0.5000  0.5000
Sc  0.5000  0.5544  0.7586
Sc  0.5000  0.4456  0.2414
Sc  0.5000  0.7586  0.5544
Sc  0.5000  0.2414  0.4456

Values from the calculation:
energy of formation: 1.140 eV/f.u.
uncorrected energy: -4.86 eV/atom